# 1
SrTaCoB2 | PBE-GGA | optimized geometry

Output
* ΔH_f (0 K): 759 kJ/mol of formula units

Cell lengths 4.0375, 4.0375, 4.7753 Å; angles 90.00, 90.00, 90.00 degrees
Element x y z (fractional)
Sr1 0.0000 0.0000 0.0000
Ta1 0.5000 0.5000 0.0000
Co1 0.0000 0.0000 0.5000
B1 0.0000 0.5000 0.5000
B2 0.5000 0.0000 0.5000


# 2
La2PmPr2Cd5 | PBE-GGA | optimized geometry

Output
* ΔH_f (0 K): -189 kJ/mol of formula units

Cell lengths 10.8966, 10.8966, 4.9547 Å; angles 90.00, 90.00, 90.00 degrees
Element x y z (fractional)
La1 0.1757 0.3243 0.0000
La2 0.3243 0.8243 0.0000
La3 0.6757 0.1757 0.0000
La4 0.8243 0.6757 0.0000
Pm1 0.0000 0.0000 0.0000
Pm2 0.5000 0.5000 0.0000
Pr1 0.1253 0.6253 0.0000
Pr2 0.3747 0.1253 0.0000
Pr3 0.6253 0.8747 0.0000
Pr4 0.8747 0.3747 0.0000
Cd1 0.0000 0.5000 0.5000
Cd2 0.0700 0.8099 0.5000
Cd3 0.1901 0.0700 0.5000
Cd4 0.3099 0.5700 0.5000
Cd5 0.4300 0.3099 0.5000
Cd6 0.5000 0.0000 0.5000
Cd7 0.5700 0.6901 0.5000
Cd8 0.6901 0.4300 0.5000
Cd9 0.8099 0.9300 0.5000
Cd10 0.9300 0.1901 0.5000


# 3
B2HCl | PBE-GGA | optimized geometry

Output
* E above lowest polymorph: 1.2017 eV per atom

Cell lengths 3.8205, 3.8205, 3.8205 Å; angles 60.00, 60.00, 60.00 degrees
Element x y z (fractional)
B1 0.2500 0.2500 0.2500
B2 0.7500 0.7500 0.7500
H1 0.0000 0.0000 0.0000
Cl1 0.5000 0.5000 0.5000


# 4
Cr10MoC3 | PBE-GGA | optimized geometry

Output
* ΔH_f (0 K): -100 kJ/mol of formula units

Cell lengths 7.4941, 7.4941, 7.4941 Å; angles 60.00, 60.00, 60.00 degrees
Element x y z (fractional)
Cr1 0.0000 0.0000 0.3384
Cr2 0.0000 0.0000 0.6616
Cr3 0.0000 0.3384 0.0000
Cr4 0.0000 0.3384 0.6616
Cr5 0.0000 0.6616 0.0000
Cr6 0.0000 0.6616 0.3384
Cr7 0.1512 0.6163 0.6163
Cr8 0.3384 0.0000 0.0000
Cr9 0.3384 0.0000 0.6616
Cr10 0.3384 0.6616 0.0000
Cr11 0.3837 0.3837 0.3837
Cr12 0.3837 0.3837 0.8488
Cr13 0.3837 0.8488 0.3837
Cr14 0.6163 0.1512 0.6163
Cr15 0.6163 0.6163 0.1512
Cr16 0.6163 0.6163 0.6163
Cr17 0.6616 0.0000 0.0000
Cr18 0.6616 0.0000 0.3384
Cr19 0.6616 0.3384 0.0000
Cr20 0.8488 0.3837 0.3837
Mo1 0.2500 0.2500 0.2500
Mo2 0.7500 0.7500 0.7500
C1 0.2738 0.2738 0.7262
C2 0.2738 0.7262 0.2738
C3 0.2738 0.7262 0.7262
C4 0.7262 0.2738 0.2738
C5 0.7262 0.2738 0.7262
C6 0.7262 0.7262 0.2738


| no. | magnetic moment (μB/f.u.) |
| --- | --- |
| 1 | 0.06 |
| 2 | 0.00 |
| 3 | 0.00 |
| 4 | 0.00 |